Record 1
VASP calculation (PBE) on a relaxed Be2TlNiAg crystal.

Calculated values
* SG: P4/mmm, No. 123
* energy of formation from the pure elements: 20.23 kcal/mol of atoms
* E_tot: -2.813 eV per atom

Unit cell a=4.3378 b=4.3378 c=4.8609 alpha=90.00 beta=90.00 gamma=90.00
Positions (direct):
Be  0.0000  0.5000  0.0000
Be  0.5000  0.0000  0.0000
Tl  0.0000  0.0000  0.5000
Ni  0.5000  0.5000  0.5000
Ag  0.5000  0.5000  0.0000

***

Record 2
VASP calculation (PBE) on a relaxed Y2BeNiAg crystal.

Calculated values
* SG: P4/mmm, No. 123
* energy of formation from the pure elements: 18.69 kcal/mol of atoms
* E_tot: -4.247 eV per atom

Unit cell a=5.4199 b=5.4199 c=4.5846 alpha=90.00 beta=90.00 gamma=90.00
Positions (direct):
Y  0.0000  0.5000  0.0000
Y  0.5000  0.0000  0.0000
Be  0.0000  0.0000  0.5000
Ni  0.5000  0.5000  0.5000
Ag  0.5000  0.5000  0.0000

***

Record 3
VASP calculation (PBE) on a relaxed NpBe2AgO6 crystal.

Calculated values
* SG: C2/c, No. 15
* formation energy without anion corrections: -2.0972 eV/atom
* E_tot: -7.397 eV per atom

Unit cell a=6.9017 b=6.9017 c=5.5016 alpha=104.55 beta=104.55 gamma=85.18
Positions (direct):
Np  0.2139  0.7861  0.7500
Np  0.7861  0.2139  0.2500
Be  0.1316  0.2718  0.6477
Be  0.2718  0.1316  0.1477
Be  0.7282  0.8684  0.8523
Be  0.8684  0.7282  0.3523
Ag  0.4308  0.5692  0.2500
Ag  0.5692  0.4308  0.7500
O  0.1104  0.2047  0.3270
O  0.1222  0.7024  0.3834
O  0.2047  0.1104  0.8270
O  0.2287  0.4895  0.7824
O  0.2976  0.8778  0.1166
O  0.4895  0.2287  0.2824
O  0.5105  0.7713  0.7176
O  0.7024  0.1222  0.8834
O  0.7713  0.5105  0.2176
O  0.7953  0.8896  0.1730
O  0.8778  0.2976  0.6166
O  0.8896  0.7953  0.6730

***

Record 4
VASP calculation (PBE) on a relaxed NpBeAg2O6 crystal.

Calculated values
* SG: C2/m, No. 12
* formation energy without anion corrections: -1.4766 eV/atom
* E_tot: -6.688 eV per atom

Unit cell a=6.0975 b=6.0975 c=4.8759 alpha=113.56 beta=113.56 gamma=53.04
Positions (direct):
Np  0.0000  0.0000  0.0000
Be  0.5000  0.5000  0.5000
Ag  0.2786  0.2786  0.7188
Ag  0.7214  0.7214  0.2812
O  0.1799  0.1799  0.0333
O  0.2161  0.6632  0.6556
O  0.3368  0.7839  0.3444
O  0.6632  0.2161  0.6556
O  0.7839  0.3368  0.3444
O  0.8201  0.8201  0.9667

***

Record 5
VASP calculation (PBE) on a relaxed BeAgO crystal.

Calculated values
* SG: P1, No. 1
* formation energy without anion corrections: -1.5878 eV/atom
* E_tot: -5.433 eV per atom

Unit cell a=2.7163 b=4.6939 c=7.2399 alpha=89.98 beta=89.85 gamma=89.99
Positions (direct):
Be  0.0000  0.0000  0.0000
Be  0.5000  0.5000  0.0022
Ag  0.4819  0.1794  0.5321
Ag  0.9824  0.6794  0.4697
O  0.0000  0.6665  0.0048
O  0.4999  0.1665  0.9974

***

Record 6
VASP calculation (PBE) on a relaxed BeAgO crystal.

Calculated values
* SG: C2/m, No. 12
* formation energy without anion corrections: -1.2363 eV/atom
* E_tot: -5.082 eV per atom

Unit cell a=10.0970 b=2.9225 c=7.2266 alpha=90.00 beta=112.71 gamma=90.00
Positions (direct):
Be  0.1726  0.0000  0.4623
Be  0.3274  0.5000  0.5377
Be  0.6726  0.5000  0.4623
Be  0.8274  0.0000  0.5377
Ag  0.1239  0.5000  0.9637
Ag  0.3761  0.0000  0.0363
Ag  0.6239  0.0000  0.9637
Ag  0.8761  0.5000  0.0363
O  0.1422  0.5000  0.4530
O  0.3578  0.0000  0.5470
O  0.6422  0.0000  0.4530
O  0.8578  0.5000  0.5470

***

Record 7
VASP calculation (PBE) on a relaxed Be3AgO crystal.

Calculated values
* SG: Pm-3m, No. 221
* formation energy without anion corrections: 1.2359 eV/atom
* E_tot: -2.562 eV per atom

Unit cell a=4.3019 b=4.3019 c=4.3019 alpha=90.00 beta=90.00 gamma=90.00
Positions (direct):
Be  0.0000  0.0000  0.5000
Be  0.0000  0.5000  0.0000
Be  0.5000  0.0000  0.0000
Ag  0.0000  0.0000  0.0000
O  0.5000  0.5000  0.5000

***

Record 8
VASP calculation (PBE) on a relaxed BeAgO crystal.

Calculated values
* SG: P1, No. 1
* formation energy without anion corrections: -1.5688 eV/atom
* E_tot: -5.414 eV per atom

Unit cell a=2.7226 b=2.7229 c=7.3666 alpha=82.10 beta=80.77 gamma=60.01
Positions (direct):
Be  0.0000  0.0000  0.0000
Ag  0.4789  0.5457  0.4956
O  0.6667  0.6666  0.0001

***

Record 9
VASP calculation (PBE) on a relaxed BeAgO crystal.

Calculated values
* SG: P1, No. 1
* formation energy without anion corrections: -1.5697 eV/atom
* E_tot: -5.415 eV per atom

Unit cell a=2.7239 b=2.7240 c=7.0740 alpha=89.12 beta=89.15 gamma=60.01
Positions (direct):
Be  0.0000  0.0000  0.0000
Ag  0.3364  0.3566  0.5001
O  0.3334  0.3334  0.9999

***

Record 10
VASP calculation (PBE) on a relaxed Be2AgO crystal.

Calculated values
* SG: I-42d, No. 122
* formation energy without anion corrections: -0.8371 eV/atom
* E_tot: -4.653 eV per atom

Unit cell a=5.1360 b=5.1360 c=6.7040 alpha=90.00 beta=90.00 gamma=90.00
Positions (direct):
Be  0.1193  0.7500  0.1250
Be  0.2500  0.1193  0.8750
Be  0.2500  0.3807  0.3750
Be  0.3807  0.7500  0.6250
Be  0.6193  0.2500  0.6250
Be  0.7500  0.6193  0.3750
Be  0.7500  0.8807  0.8750
Be  0.8807  0.2500  0.1250
Ag  0.0000  0.0000  0.5000
Ag  0.0000  0.5000  0.7500
Ag  0.5000  0.0000  0.2500
Ag  0.5000  0.5000  0.0000
O  0.0000  0.0000  0.0000
O  0.0000  0.5000  0.2500
O  0.5000  0.0000  0.7500
O  0.5000  0.5000  0.5000

***

Record 11
VASP calculation (PBE) on a relaxed Be3AgO crystal.

Calculated values
* SG: Pm-3m, No. 221
* formation energy without anion corrections: -0.3793 eV/atom
* E_tot: -4.177 eV per atom

Unit cell a=3.6472 b=3.6472 c=3.6472 alpha=90.00 beta=90.00 gamma=90.00
Positions (direct):
Be  0.0000  0.0000  0.5000
Be  0.0000  0.5000  0.0000
Be  0.5000  0.0000  0.0000
Ag  0.5000  0.5000  0.5000
O  0.0000  0.0000  0.0000

***

Record 12
VASP calculation (PBE) on a relaxed BeAg3O crystal.

Calculated values
* SG: Pm-3m, No. 221
* formation energy without anion corrections: 0.5181 eV/atom
* E_tot: -2.930 eV per atom

Unit cell a=4.4402 b=4.4402 c=4.4402 alpha=90.00 beta=90.00 gamma=90.00
Positions (direct):
Be  0.0000  0.0000  0.0000
Ag  0.0000  0.5000  0.5000
Ag  0.5000  0.0000  0.5000
Ag  0.5000  0.5000  0.0000
O  0.5000  0.5000  0.5000